A plane-wave DFT calculation with GGA-PBE was carried out for CsMo3P5 after structural relaxation.

a b c (Å): 5.3231 5.3231 8.4205
angles (deg): 90.00 90.00 120.00
With the nearest neighbours (Å) after each atom.
Sites, in units of the cell vectors:
Cs 0.0000 0.0000 0.0000  14 P 3.79-4.21
Mo 0.5000 0.0000 0.5000  6 P 2.52-2.66, 4 Mo 2.66
Mo 0.0000 0.5000 0.5000  6 P 2.52-2.66, 4 Mo 2.66
Mo 0.5000 0.5000 0.5000  6 P 2.52-2.66, 4 Mo 2.66
P 0.6667 0.3333 0.2634  3 Mo 2.52
P 0.3333 0.6667 0.2634  3 Mo 2.52
P 0.0000 0.0000 0.5000  6 Mo 2.66
P 0.6667 0.3333 0.7366  3 Mo 2.52
P 0.3333 0.6667 0.7366  3 Mo 2.52

Summary:
Total magnetic moment ... 0.01 μB/f.u.
E_tot ... -6.797 eV per atom
Space group ... No. 191

---

A plane-wave DFT calculation with GGA-PBE was carried out for CsPaMo after structural relaxation.

a b c (Å): 4.9524 4.9524 4.9524
angles (deg): 60.00 60.00 60.00
With the nearest neighbours (Å) after each atom.
Sites, in units of the cell vectors:
Cs 0.2500 0.2500 0.2500  4 Mo 3.03
Mo 0.0000 0.0000 0.0000  4 Pa 3.03, 4 Cs 3.03
Pa 0.7500 0.7500 0.7500  4 Mo 3.03

Summary:
Relative energy among the computed polymorphs ... 0 meV per atom
Total magnetic moment ... 0.00 μB/f.u.
E_tot ... -5.256 eV per atom
Space group ... No. 216

---

A plane-wave DFT calculation with GGA-PBE was carried out for CsPaMo after structural relaxation.

a b c (Å): 4.8412 4.8412 4.8412
angles (deg): 60.00 60.00 60.00
With the nearest neighbours (Å) after each atom.
Sites, in units of the cell vectors:
Cs 0.0000 0.0000 0.0000  4 Mo 2.96, 4 Pa 2.96
Mo 0.7500 0.7500 0.7500  4 Cs 2.96
Pa 0.2500 0.2500 0.2500  4 Cs 2.96

Summary:
Relative energy among the computed polymorphs ... 679 meV per atom
Total magnetic moment ... 1.10 μB/f.u.
E_tot ... -4.577 eV per atom
Space group ... No. 216

---

A plane-wave DFT calculation with GGA-PBE was carried out for CsMoPb after structural relaxation.

a b c (Å): 5.6775 5.6775 5.6775
angles (deg): 60.00 60.00 60.00
With the nearest neighbours (Å) after each atom.
Sites, in units of the cell vectors:
Cs 0.0000 0.0000 0.0000  4 Pb 3.48, 4 Mo 3.48
Mo 0.2500 0.2500 0.2500  4 Cs 3.48
Pb 0.7500 0.7500 0.7500  4 Cs 3.48

Summary:
Relative energy among the computed polymorphs ... 605 meV per atom
Total magnetic moment ... 3.25 μB/f.u.
E_tot ... -3.175 eV per atom
Space group ... No. 216